# 1
First-principles (PBE-GGA) data for a relaxed structure of YZrZnOs, as listed in Alexandria via LeMat-Bulk.

Structure (POSCAR):
```
YZrZnOs
1.0
0.000 3.397 3.397
3.397 0.000 3.397
3.397 3.397 0.000
Y Zr Zn Os
1 1 1 1
Cartesian
0.000 0.000 0.000
3.397 3.397 3.397
5.096 5.096 5.096
1.699 1.699 1.699
```

Output
**Energy of formation**: -0.2803 eV per atom
**Energy**: -7.159 eV/atom

# 2
First-principles (PBE-GGA) data for a relaxed structure of NaPrMg2Sn2, as listed in Alexandria via LeMat-Bulk.

Structure (POSCAR):
```
NaPrMg2Sn2
1.0
4.910 0.000 0.000
-2.455 4.252 0.000
0.000 0.000 7.472
Na Pr Mg Sn
1 1 2 2
Cartesian
0.000 0.000 0.000
0.000 0.000 3.736
0.000 2.835 1.328
2.455 1.417 6.143
0.000 2.835 5.546
2.455 1.417 1.925
```

Output
**Energy of formation**: -0.4211 eV per atom
**Energy**: -3.303 eV/atom

# 3
First-principles (PBE-GGA) data for a relaxed structure of KV2Re, as listed in Alexandria via LeMat-Bulk.

Structure (POSCAR):
```
KV2Re
1.0
-2.684 2.684 7.902
2.684 -2.684 7.902
2.684 2.684 -7.902
K V Re
2 4 2
Cartesian
2.684 1.342 1.976
0.000 1.342 5.927
0.000 0.000 0.000
1.342 1.342 -3.951
1.342 -1.342 3.951
0.000 2.684 0.000
2.684 -1.342 5.927
0.000 4.026 1.976
```

Output
**Energy of formation**: 1.6018 eV per atom
**Energy**: -6.344 eV/atom
**Distance to the lowest polymorph of the same formula**: 1.01 eV per formula unit

# 4
First-principles (PBE-GGA) data for a relaxed structure of LaMg2BPb, as listed in Alexandria via LeMat-Bulk.

Structure (POSCAR):
```
LaMg2BPb
1.0
5.502 0.000 0.000
0.000 5.502 0.000
0.000 0.000 4.683
La Mg B Pb
1 2 1 1
Cartesian
0.000 0.000 0.000
0.000 2.751 2.342
2.751 0.000 2.342
2.751 2.751 0.000
2.751 2.751 2.342
```

Output
**Energy of formation**: 0.8639 eV per atom
**Energy**: -2.837 eV/atom

# 5
First-principles (PBE-GGA) data for a relaxed structure of Sm2AlGePb, as listed in Alexandria via LeMat-Bulk.

Structure (POSCAR):
```
Sm2AlGePb
1.0
6.562 0.000 0.000
0.000 4.445 0.000
-0.240 0.000 8.869
Sm Al Ge Pb
4 2 2 2
Cartesian
1.384 1.111 4.109
1.616 1.111 0.258
4.705 3.333 8.611
4.937 3.333 4.761
2.873 3.333 2.256
3.448 1.111 6.614
0.395 3.333 2.133
5.926 1.111 6.737
1.641 3.333 6.578
4.680 1.111 2.291
```

Output
**Energy of formation**: -0.5245 eV per atom
**Energy**: -4.826 eV/atom

# 6
First-principles (PBE-GGA) data for a relaxed structure of PmNpPdRu, as listed in Alexandria via LeMat-Bulk.

Structure (POSCAR):
```
PmNpPdRu
1.0
0.000 3.481 3.481
3.481 0.000 3.481
3.481 3.481 0.000
Pm Np Pd Ru
1 1 1 1
Cartesian
0.000 0.000 0.000
3.481 3.481 3.481
1.741 1.741 1.741
5.222 5.222 5.222
```

Output
**Energy of formation**: -0.1809 eV per atom
**Energy**: -8.221 eV/atom

# 7
First-principles (PBE-GGA) data for a relaxed structure of Mn3VHg, as listed in Alexandria via LeMat-Bulk.

Structure (POSCAR):
```
Mn3VHg
1.0
4.461 0.000 0.000
0.000 4.461 0.000
0.000 0.000 4.461
Mn V Hg
3 1 1
Cartesian
0.000 0.000 2.230
0.000 2.230 0.000
2.230 0.000 0.000
0.000 0.000 0.000
2.230 2.230 2.230
```

Output
**Energy of formation**: 0.9124 eV per atom
**Energy**: -6.473 eV/atom
**Distance to the lowest polymorph of the same formula**: 0.00 eV per formula unit

# 8
First-principles (PBE-GGA) data for a relaxed structure of Zr5UAs6, as listed in Alexandria via LeMat-Bulk.

Structure (POSCAR):
```
Zr5UAs6
1.0
3.382 -5.874 0.000
3.382 5.874 0.000
-2.254 0.000 6.358
Zr U As
5 1 6
Cartesian
0.000 0.000 0.000
2.255 3.879 3.179
3.382 1.987 0.000
3.382 -1.987 0.000
2.255 -3.879 3.179
2.255 0.000 3.179
1.117 1.968 1.564
-0.024 0.000 4.766
1.117 -1.968 1.564
3.392 1.968 4.794
4.533 0.000 1.592
3.392 -1.968 4.794
```

Output
**Energy of formation**: -1.0477 eV per atom
**Energy**: -7.875 eV/atom